## Cs2Th2MnTe6 (PBE-GGA)

Data for Cs2Th2MnTe6 after structural relaxation.

Cell and atoms, written as POSCAR:
```
Cs2Th2MnTe6
1.0
3.8816 -6.7156 0.0000
3.8816 6.7156 0.0000
-2.6675 0.0000 9.1806
Cs Th Mn Te
2 2 1 6
direct
0.1693 0.8307 0.0000 Cs
0.8307 0.1693 0.0000 Cs
0.3325 0.6675 0.5000 Th
0.6675 0.3325 0.5000 Th
0.0000 0.0000 0.5000 Mn
0.0663 0.3861 0.6874 Te
0.2533 0.2533 0.3170 Te
0.3861 0.0663 0.6874 Te
0.6139 0.9337 0.3126 Te
0.7467 0.7467 0.6830 Te
0.9337 0.6139 0.3126 Te
```

Computed properties:
The raw formation energy comes out at -1.013 eV/atom. The crystal system is monoclinic.

---

## CsTiMnTe4 (PBE-GGA)

Data for CsTiMnTe4 after structural relaxation.

Cell and atoms, written as POSCAR:
```
CsTiMnTe4
1.0
6.7971 0.0000 0.0000
0.0000 7.6108 0.0000
-0.7976 0.0000 9.6639
Cs Ti Mn Te
2 2 2 8
direct
0.2186 0.2500 0.0419 Cs
0.7814 0.7500 0.9581 Cs
0.1615 0.7500 0.4474 Ti
0.8385 0.2500 0.5526 Ti
0.3652 0.2500 0.6451 Mn
0.6348 0.7500 0.3549 Mn
0.1001 0.5045 0.6736 Te
0.1001 0.9955 0.6736 Te
0.3129 0.7500 0.1888 Te
0.4808 0.2500 0.4016 Te
0.5192 0.7500 0.5984 Te
0.6871 0.2500 0.8112 Te
0.8999 0.0045 0.3264 Te
0.8999 0.4955 0.3264 Te
```

Computed properties:
The raw formation energy comes out at -0.507 eV/atom. The crystal system is monoclinic.

---

## CsUMnTe4 (PBE-GGA)

Data for CsUMnTe4 after structural relaxation.

Cell and atoms, written as POSCAR:
```
CsUMnTe4
1.0
7.1481 0.0000 0.0000
0.0000 7.1391 0.0000
-3.5695 0.0000 10.0549
Cs U Mn Te
2 2 2 8
direct
0.2309 0.2500 0.0473 Cs
0.7691 0.7500 0.9527 Cs
0.2342 0.2500 0.5494 U
0.7658 0.7500 0.4506 U
0.2361 0.7500 0.3450 Mn
0.7639 0.2500 0.6550 Mn
0.0303 0.5135 0.6979 Te
0.0303 0.9865 0.6979 Te
0.4335 0.7500 0.1805 Te
0.4536 0.7500 0.5910 Te
0.5464 0.2500 0.4090 Te
0.5665 0.2500 0.8195 Te
0.9697 0.0135 0.3021 Te
0.9697 0.4865 0.3021 Te
```

Computed properties:
The raw formation energy comes out at -0.597 eV/atom. The crystal system is monoclinic.

---

## CsY2MnTe4 (PBE-GGA)

Data for CsY2MnTe4 after structural relaxation.

Cell and atoms, written as POSCAR:
```
CsY2MnTe4
1.0
2.2253 -7.9020 0.0000
2.2253 7.9020 0.0000
0.0000 0.0000 15.5913
Cs Y Mn Te
2 4 2 8
direct
0.1108 0.8892 0.7500 Cs
0.8892 0.1108 0.2500 Cs
0.3705 0.6295 0.5612 Y
0.3705 0.6295 0.9388 Y
0.6295 0.3705 0.0612 Y
0.6295 0.3705 0.4388 Y
0.1687 0.8313 0.2500 Mn
0.8313 0.1687 0.7500 Mn
0.0000 0.0000 0.0000 Te
0.0000 0.0000 0.5000 Te
0.2596 0.7404 0.1057 Te
0.2596 0.7404 0.3943 Te
0.4281 0.5719 0.7500 Te
0.5719 0.4281 0.2500 Te
0.7404 0.2596 0.6057 Te
0.7404 0.2596 0.8943 Te
```

Computed properties:
The raw formation energy comes out at -1.071 eV/atom. The crystal system is orthorhombic.

---

## CsMnZnTe3 (PBE-GGA)

Data for CsMnZnTe3 after structural relaxation.

Cell and atoms, written as POSCAR:
```
CsMnZnTe3
1.0
9.5245 0.0000 0.0000
0.0000 4.1743 0.0000
-4.3050 0.0000 10.8531
Cs Mn Zn Te
2 2 2 6
direct
0.2308 0.2500 0.2658 Cs
0.7692 0.7500 0.7342 Cs
0.3435 0.7500 0.8819 Mn
0.6565 0.2500 0.1181 Mn
0.0874 0.2500 0.6068 Zn
0.9126 0.7500 0.3932 Zn
0.1437 0.2500 0.8520 Te
0.2145 0.7500 0.5391 Te
0.4792 0.7500 0.1396 Te
0.5208 0.2500 0.8604 Te
0.7855 0.2500 0.4609 Te
0.8563 0.7500 0.1480 Te
```

Computed properties:
The raw formation energy comes out at -0.493 eV/atom. The crystal system is monoclinic.

---

## CsMn2ZnTe4 (PBE-GGA)

Data for CsMn2ZnTe4 after structural relaxation.

Cell and atoms, written as POSCAR:
```
CsMn2ZnTe4
1.0
-3.1713 4.7010 5.2926
3.1713 -4.7010 5.2926
3.1713 4.7010 -5.2926
Cs Mn Zn Te
1 2 1 4
direct
0.0000 0.0000 0.0000 Cs
0.4078 0.9078 0.5000 Mn
0.5922 0.0922 0.5000 Mn
0.5000 0.5000 0.0000 Zn
0.1735 0.1186 0.6247 Te
0.4939 0.5488 0.3753 Te
0.5061 0.8814 0.0549 Te
0.8265 0.4512 0.9451 Te
```

Computed properties:
The raw formation energy comes out at 0.007 eV/atom. The crystal system is orthorhombic.

---

## CsZrMnTe3 (PBE-GGA)

Data for CsZrMnTe3 after structural relaxation.

Cell and atoms, written as POSCAR:
```
CsZrMnTe3
1.0
10.1642 0.0000 0.0000
0.0000 4.2529 0.0000
-4.8625 0.0000 9.7727
Cs Zr Mn Te
2 2 2 6
direct
0.2198 0.2500 0.2547 Cs
0.7802 0.7500 0.7453 Cs
0.3324 0.7500 0.8560 Zr
0.6676 0.2500 0.1440 Zr
0.0866 0.2500 0.6110 Mn
0.9134 0.7500 0.3890 Mn
0.1329 0.2500 0.8692 Te
0.2145 0.7500 0.5517 Te
0.4709 0.7500 0.1554 Te
0.5291 0.2500 0.8446 Te
0.7855 0.2500 0.4483 Te
0.8671 0.7500 0.1308 Te
```

Computed properties:
The raw formation energy comes out at -0.759 eV/atom. The crystal system is monoclinic.

---

## CsTiMn2 (PBE-GGA)

Data for CsTiMn2 after structural relaxation.

Cell and atoms, written as POSCAR:
```
CsTiMn2
1.0
0.0000 3.5751 3.5751
3.5751 0.0000 3.5751
3.5751 3.5751 0.0000
Cs Ti Mn
1 1 2
direct
0.0000 0.0000 0.0000 Cs
0.5000 0.5000 0.5000 Ti
0.2500 0.2500 0.2500 Mn
0.7500 0.7500 0.7500 Mn
```

Computed properties:
Its energy of formation is 1360 meV/atom. The crystal system is cubic.

---

## CsTi3Mn (PBE-GGA)

Data for CsTi3Mn after structural relaxation.

Cell and atoms, written as POSCAR:
```
CsTi3Mn
1.0
4.7734 0.0000 0.0000
0.0000 4.7734 0.0000
0.0000 0.0000 4.7734
Cs Ti Mn
1 3 1
direct
0.0000 0.0000 0.0000 Cs
0.0000 0.5000 0.5000 Ti
0.5000 0.0000 0.5000 Ti
0.5000 0.5000 0.0000 Ti
0.5000 0.5000 0.5000 Mn
```

Computed properties:
Its energy of formation is 887 meV/atom. The crystal system is cubic.

---

## Cs2Mn2Tl (PBE-GGA)

Data for Cs2Mn2Tl after structural relaxation.

Cell and atoms, written as POSCAR:
```
Cs2Mn2Tl
1.0
-1.6484 1.6484 13.4824
1.6484 -1.6484 13.4824
1.6484 1.6484 -13.4824
Cs Mn Tl
2 2 1
direct
0.1306 0.1306 0.0000 Cs
0.8694 0.8694 0.0000 Cs
0.2500 0.7500 0.5000 Mn
0.7500 0.2500 0.5000 Mn
0.5000 0.5000 0.0000 Tl
```

Computed properties:
Its energy of formation is 901 meV/atom. The crystal system is tetragonal.

---

## Cs2MnV (PBE-GGA)

Data for Cs2MnV after structural relaxation.

Cell and atoms, written as POSCAR:
```
Cs2MnV
1.0
0.0000 3.9560 3.9560
3.9560 0.0000 3.9560
3.9560 3.9560 0.0000
Cs Mn V
2 1 1
direct
0.2500 0.2500 0.2500 Cs
0.7500 0.7500 0.7500 Cs
0.0000 0.0000 0.0000 Mn
0.5000 0.5000 0.5000 V
```

Computed properties:
Its energy of formation is 2058 meV/atom. The crystal system is cubic.

---

## Cs3MnW (PBE-GGA)

Data for Cs3MnW after structural relaxation.

Cell and atoms, written as POSCAR:
```
Cs3MnW
1.0
6.8543 0.0000 0.0000
0.0000 6.8543 0.0000
0.0000 0.0000 6.8543
Cs Mn W
3 1 1
direct
0.0000 0.0000 0.5000 Cs
0.0000 0.5000 0.0000 Cs
0.5000 0.0000 0.0000 Cs
0.0000 0.0000 0.0000 Mn
0.5000 0.5000 0.5000 W
```

Computed properties:
Its energy of formation is 1947 meV/atom. The crystal system is cubic.

---

## CsMnW3 (PBE-GGA)

Data for CsMnW3 after structural relaxation.

Cell and atoms, written as POSCAR:
```
CsMnW3
1.0
4.7007 0.0000 0.0000
0.0000 4.7007 0.0000
0.0000 0.0000 4.7007
Cs Mn W
1 1 3
direct
0.0000 0.0000 0.0000 Cs
0.5000 0.5000 0.5000 Mn
0.0000 0.5000 0.5000 W
0.5000 0.0000 0.5000 W
0.5000 0.5000 0.0000 W
```

Computed properties:
Its energy of formation is 2116 meV/atom. The crystal system is cubic.

---

## CsY2Mn (PBE-GGA)

Data for CsY2Mn after structural relaxation.

Cell and atoms, written as POSCAR:
```
CsY2Mn
1.0
-3.9583 3.9583 5.5976
3.9583 -3.9583 5.5976
3.9583 3.9583 -5.5976
Cs Y Mn
2 4 2
direct
0.0000 0.0000 0.0000 Cs
0.7500 0.2500 0.5000 Cs
0.3743 0.6250 0.2493 Y
0.3750 0.6243 0.7493 Y
0.3757 0.1250 0.7507 Y
0.8750 0.6257 0.2507 Y
0.2500 0.7500 0.5000 Mn
0.5000 0.5000 0.0000 Mn
```

Computed properties:
Its energy of formation is 730 meV/atom. The crystal system is tetragonal.

---

## CsY2Mn2 (PBE-GGA)

Data for CsY2Mn2 after structural relaxation.

Cell and atoms, written as POSCAR:
```
CsY2Mn2
1.0
8.7036 0.0000 0.0000
0.0000 8.7036 0.0000
0.0000 0.0000 3.3772
Cs Y Mn
2 4 4
direct
0.0000 0.0000 0.0000 Cs
0.5000 0.5000 0.0000 Cs
0.1778 0.3222 0.0000 Y
0.3222 0.8222 0.0000 Y
0.6778 0.1778 0.0000 Y
0.8222 0.6778 0.0000 Y
0.0816 0.5816 0.5000 Mn
0.4184 0.0816 0.5000 Mn
0.5816 0.9184 0.5000 Mn
0.9184 0.4184 0.5000 Mn
```

Computed properties:
Its energy of formation is 823 meV/atom. The crystal system is tetragonal.

---

## Cs2YMn (PBE-GGA)

Data for Cs2YMn after structural relaxation.

Cell and atoms, written as POSCAR:
```
Cs2YMn
1.0
0.0000 4.6277 4.6277
4.6277 0.0000 4.6277
4.6277 4.6277 0.0000
Cs Y Mn
2 1 1
direct
0.2500 0.2500 0.2500 Cs
0.7500 0.7500 0.7500 Cs
0.0000 0.0000 0.0000 Y
0.5000 0.5000 0.5000 Mn
```

Computed properties:
Its energy of formation is 1195 meV/atom. The crystal system is cubic.

---

## CsMn3Zn (PBE-GGA)

Data for CsMn3Zn after structural relaxation.

Cell and atoms, written as POSCAR:
```
CsMn3Zn
1.0
5.0782 0.0000 0.0000
0.0000 5.0782 0.0000
0.0000 0.0000 5.0782
Cs Mn Zn
1 3 1
direct
0.0000 0.0000 0.0000 Cs
0.0000 0.0000 0.5000 Mn
0.0000 0.5000 0.0000 Mn
0.5000 0.0000 0.0000 Mn
0.5000 0.5000 0.5000 Zn
```

Computed properties:
Its energy of formation is 2348 meV/atom. The crystal system is cubic.

---

## CsMn3Zn (PBE-GGA)

Data for CsMn3Zn after structural relaxation.

Cell and atoms, written as POSCAR:
```
CsMn3Zn
1.0
5.0809 0.0000 0.0000
0.0000 5.0809 0.0000
0.0000 0.0000 5.0809
Cs Mn Zn
1 3 1
direct
0.0000 0.0000 0.0000 Cs
0.0000 0.5000 0.5000 Mn
0.5000 0.0000 0.5000 Mn
0.5000 0.5000 0.0000 Mn
0.5000 0.5000 0.5000 Zn
```

Computed properties:
Its energy of formation is 1053 meV/atom. The crystal system is cubic.

---

## Cs3MnZn (PBE-GGA)

Data for Cs3MnZn after structural relaxation.

Cell and atoms, written as POSCAR:
```
Cs3MnZn
1.0
7.1056 0.0000 0.0000
0.0000 7.1056 0.0000
0.0000 0.0000 7.1056
Cs Mn Zn
3 1 1
direct
0.0000 0.0000 0.5000 Cs
0.0000 0.5000 0.0000 Cs
0.5000 0.0000 0.0000 Cs
0.5000 0.5000 0.5000 Mn
0.0000 0.0000 0.0000 Zn
```

Computed properties:
Its energy of formation is 718 meV/atom. The crystal system is cubic.

---

## Cs2MnZn2 (PBE-GGA)

Data for Cs2MnZn2 after structural relaxation.

Cell and atoms, written as POSCAR:
```
Cs2MnZn2
1.0
10.7234 0.0000 0.0000
0.0000 10.7234 0.0000
0.0000 0.0000 3.7298
Cs Mn Zn
4 2 4
direct
0.2003 0.2997 0.0000 Cs
0.2997 0.7997 0.0000 Cs
0.7003 0.2003 0.0000 Cs
0.7997 0.7003 0.0000 Cs
0.0000 0.0000 0.0000 Mn
0.5000 0.5000 0.0000 Mn
0.0870 0.5870 0.5000 Zn
0.4130 0.0870 0.5000 Zn
0.5870 0.9130 0.5000 Zn
0.9130 0.4130 0.5000 Zn
```

Computed properties:
Its energy of formation is 759 meV/atom. The crystal system is tetragonal.

---

no.,total moment (μB/atom)
1,0.455
2,0.570
3,0.857
4,0.518
5,0.666
6,0.402
7,0.674
8,1.295
9,0.000
10,0.000
11,0.942
12,0.243
13,0.000
14,0.000
15,0.409
16,0.593
17,2.127
18,2.595
19,1.016
20,0.855